Entry 1:
Material: RbNa2InRh
Method: DFT, PBE
State: optimized geometry

a b c (Å): 5.607 5.607 5.227
angles (deg): 90.00 90.00 90.00
Sites, in units of the cell vectors:
Na 0.500 0.000 0.000
Na 0.000 0.500 0.000
Rb 0.500 0.500 0.500
In 0.000 0.000 0.500
Rh 0.000 0.000 0.000

Formation enthalpy at 0 K (eV/atom): 0.060
SG: P4/mmm (123)
Crystal system: tetragonal

***

Entry 2:
Material: RbNaIn2S4
Method: DFT, PBE
State: optimized geometry

a b c (Å): 8.309 8.309 8.309
angles (deg): 139.19 139.19 59.09
Sites, in units of the cell vectors:
S 0.624 0.624 0.547
S 0.376 0.923 0.000
S 0.923 0.376 0.000
S 0.077 0.077 0.453
Rb 0.500 0.500 0.000
In 0.750 0.250 0.500
In 0.250 0.750 0.500
Na 0.000 0.000 0.000

Uncorrected formation energy (eV per atom): -0.8030
SG: I-42m (121)
Crystal system: tetragonal

***

Entry 3:
Material: Rb2NaIn2S4
Method: DFT, PBE
State: optimized geometry

a b c (Å): 4.558 8.274 7.698
angles (deg): 106.59 90.00 105.99
Sites, in units of the cell vectors:
Rb 0.880 0.761 0.468
Rb 0.120 0.239 0.532
S 0.790 0.580 0.829
S 0.523 0.046 0.764
S 0.210 0.420 0.171
S 0.477 0.954 0.236
Na 0.000 0.000 0.000
In 0.663 0.325 0.004
In 0.337 0.675 0.996

Uncorrected formation energy (eV per atom): -0.8382
SG: C2/m (12)
Crystal system: monoclinic

***

Entry 4:
Material: RbNa2In2Sb2
Method: DFT, PBE
State: optimized geometry

a b c (Å): 5.270 5.270 10.274
angles (deg): 75.14 75.14 60.00
Sites, in units of the cell vectors:
Sb 0.754 0.754 0.739
Sb 0.246 0.246 0.261
In 0.446 0.446 0.662
In 0.554 0.554 0.338
Na 0.140 0.140 0.581
Na 0.860 0.860 0.419
Rb 0.000 0.000 0.000

Uncorrected formation energy (eV per atom): -0.2786
SG: R-3m (166)
Crystal system: trigonal

***

| no. | electronic total energy (eV/atom) |
| --- | --- |
| 1 | -2.68 |
| 2 | -3.84 |
| 3 | -3.64 |
| 4 | -2.75 |